[1]
A relaxed SrTa2CoN4 crystal, computed with PBE-GGA.

```
data_SrTa2CoN4
_space_group_name_H-M_alt 'C m c m'
_space_group_IT_number 63
_space_group_name_Hall '-C 2c 2'
_cell_length_a 3.1571
_cell_length_b 10.9180
_cell_length_c 10.9330
_cell_angle_alpha 90.00
_cell_angle_beta 90.00
_cell_angle_gamma 90.00
loop_
_atom_site_label
_atom_site_type_symbol
_atom_site_fract_x
_atom_site_fract_y
_atom_site_fract_z
Sr1 Sr 0.0000 0.1074 0.2500
Ta1 Ta 0.0000 0.3683 0.0582
Co1 Co 0.0000 0.1610 0.7500
N1 N 0.0000 0.0000 0.0000
N2 N 0.0000 0.2646 0.6044
N3 N 0.0000 0.4328 0.2500
```

M_tot, μB/f.u.: 0.000
Total DFT energy (no corrections), eV per formula unit: -72.7

=====

[2]
A relaxed Sr2MgHgAu6 crystal, computed with PBE-GGA.

```
data_Sr2MgHgAu6
_space_group_name_H-M_alt 'C 1 2/m 1'
_space_group_IT_number 12
_cell_length_a 13.3143
_cell_length_b 5.5049
_cell_length_c 9.5980
_cell_angle_alpha 90.00
_cell_angle_beta 133.89
_cell_angle_gamma 90.00
loop_
_space_group_symop_operation_xyz
'x,y,z'
'-x,-y,-z'
'-x,y,-z'
'x,-y,z'
'x+1/2,y+1/2,z'
'-x+1/2,-y+1/2,-z'
'-x+1/2,y+1/2,-z'
'x+1/2,-y+1/2,z'
loop_
_atom_site_label
_atom_site_type_symbol
_atom_site_fract_x
_atom_site_fract_y
_atom_site_fract_z
Sr1 Sr 0.2402 0.0000 0.1973
Mg1 Mg 0.0000 0.0000 0.5000
Hg1 Hg 0.0000 0.5000 0.0000
Au1 Au 0.0067 0.2504 0.7447
Au2 Au 0.2474 0.0000 0.5900
```

M_tot, μB/f.u.: 0.000
Total DFT energy (no corrections), eV per formula unit: -29.7

=====

[3]
A relaxed ScTaCo2 crystal, computed with PBE-GGA.

```
data_ScTaCo2
_space_group_name_H-M_alt 'P m m 2'
_space_group_IT_number 25
_cell_length_a 2.8565
_cell_length_b 4.2096
_cell_length_c 5.0364
_cell_angle_alpha 90.00
_cell_angle_beta 90.00
_cell_angle_gamma 90.00
loop_
_space_group_symop_operation_xyz
'x,y,z'
'-x,-y,z'
'-x,y,z'
'x,-y,z'
loop_
_atom_site_label
_atom_site_type_symbol
_atom_site_fract_x
_atom_site_fract_y
_atom_site_fract_z
Sc1 Sc 0.0000 0.0000 0.0000
Ta1 Ta 0.5000 0.5000 0.3707
Co1 Co 0.0000 0.0000 0.5021
Co2 Co 0.5000 0.5000 0.8727
```

M_tot, μB/f.u.: 0.000
Total DFT energy (no corrections), eV per formula unit: -32.4